Entry 1:
Computed, not measured: crystalline Hf2BeCu at its relaxed geometry at the PBE level of DFT.

Calculated values
VASP energy   -6.34 eV/atom
ρ   10.7 g/cm³

Cell lengths 4.554, 4.554, 4.554 Å; angles 60.00, 60.00, 60.00 degrees
Site moments in Bohr magnetons follow the coordinates.
Positions (direct):
Cu 0.250 0.250 0.250  0.03
Hf 0.000 0.000 0.000  0.26
Hf 0.750 0.750 0.750  0.28
Be 0.500 0.500 0.500  -0.01


Entry 2:
Computed, not measured: crystalline HfBeCuSb at its relaxed geometry at the PBE level of DFT.

Calculated values
VASP energy   -5.07 eV/atom
ρ   9.2 g/cm³

Cell lengths 4.570, 4.570, 4.570 Å; angles 60.00, 60.00, 60.00 degrees
Positions (direct):
Be 0.250 0.250 0.250
Cu 0.750 0.750 0.750
Hf 0.500 0.500 0.500
Sb 0.000 0.000 0.000


- Among the records above, which one has the highest VASP energy?
  HfBeCuSb


- The lowest ρ belongs to which entry?
  HfBeCuSb